DFT (PBE) results for a relaxed BeCu8 crystal.

CIF file:
```
data_BeCu8
_symmetry_space_group_name_H-M 'P 1'
_symmetry_Int_Tables_number 1
_symmetry_space_group_name_Hall 'P 1'
_cell_length_a 5.694
_cell_length_b 5.694
_cell_length_c 5.694
_cell_angle_alpha 95.55
_cell_angle_beta 95.55
_cell_angle_gamma 143.76
loop_
_atom_site_label
_atom_site_type_symbol
_atom_site_fract_x
_atom_site_fract_y
_atom_site_fract_z
Be1 Be 0.000 0.000 0.000
Cu1 Cu 0.000 0.330 0.330
Cu2 Cu 0.000 0.670 0.670
Cu3 Cu 0.330 0.000 0.330
Cu4 Cu 0.338 0.338 0.675
Cu5 Cu 0.338 0.662 0.000
Cu6 Cu 0.662 0.338 0.000
Cu7 Cu 0.662 0.662 0.325
Cu8 Cu 0.670 0.000 0.670
```

Calculated values
ΔE_f = -0.0049 eV per atom
crystal system = tetragonal
D(E_F) = 0.2443 states/eV/atom
M_tot = 0.000 μB/atom